[1]
Here is a relaxed Ir2PbW crystal from Alexandria via LeMat-Bulk. Energies are from PBE-GGA.

Computed properties:
- symmetry = No. 123
- total DFT energy (no corrections) (eV/atom) = -7.972

a b c (Å): 4.1412 4.1412 3.9796
angles (deg): 90.00 90.00 90.00
Atoms (fractional coordinates):
Ir (0.0000, 0.5000, 0.0000)
Ir (0.5000, 0.0000, 0.0000)
Pb (0.0000, 0.0000, 0.5000)
W (0.5000, 0.5000, 0.5000)



[2]
Here is a relaxed Ir3PbW crystal from Alexandria via LeMat-Bulk. Energies are from PBE-GGA.

Computed properties:
- E above lowest polymorph (eV per formula unit) = 0.00
- symmetry = No. 221

a b c (Å): 4.8242 4.8242 4.8242
angles (deg): 90.00 90.00 90.00
Atoms (fractional coordinates):
Ir (0.0000, 0.0000, 0.5000)
Ir (0.0000, 0.5000, 0.0000)
Ir (0.5000, 0.0000, 0.0000)
Pb (0.5000, 0.5000, 0.5000)
W (0.0000, 0.0000, 0.0000)



[3]
Here is a relaxed Ir2PbW crystal from Alexandria via LeMat-Bulk. Energies are from PBE-GGA.

Computed properties:
- symmetry = No. 123
- total DFT energy (no corrections) (eV/atom) = -8.027

a b c (Å): 4.9077 4.9077 2.8757
angles (deg): 90.00 90.00 90.00
Atoms (fractional coordinates):
Ir (0.0000, 0.5000, 0.0000)
Ir (0.5000, 0.0000, 0.0000)
Pb (0.0000, 0.0000, 0.5000)
W (0.5000, 0.5000, 0.5000)



[4]
Here is a relaxed Ir2PbW crystal from Alexandria via LeMat-Bulk. Energies are from PBE-GGA.

Computed properties:
- symmetry = No. 44
- total DFT energy (no corrections) (eV/atom) = -8.185

a b c (Å): 6.8961 6.8961 6.8961
angles (deg): 155.94 145.14 42.80
Atoms (fractional coordinates):
Ir (0.0000, 0.0000, 0.0000)
Ir (0.7444, 0.2444, 0.5000)
Pb (0.3423, 0.8423, 0.5000)
W (0.5773, 0.5773, 0.0000)



[5]
Here is a relaxed Ir2PbW crystal from Alexandria via LeMat-Bulk. Energies are from PBE-GGA.

Computed properties:
- symmetry = No. 139
- total DFT energy (no corrections) (eV/atom) = -8.112

a b c (Å): 4.9392 4.9392 4.9392
angles (deg): 130.81 130.81 72.12
Atoms (fractional coordinates):
Ir (0.2500, 0.7500, 0.5000)
Ir (0.7500, 0.2500, 0.5000)
Pb (0.0000, 0.0000, 0.0000)
W (0.5000, 0.5000, 0.0000)



[6]
Here is a relaxed Ir2PbW crystal from Alexandria via LeMat-Bulk. Energies are from PBE-GGA.

Computed properties:
- symmetry = No. 166
- total DFT energy (no corrections) (eV/atom) = -8.308

a b c (Å): 9.6180 9.6180 9.6180
angles (deg): 17.58 17.58 17.58
Atoms (fractional coordinates):
Ir (0.2405, 0.2405, 0.2405)
Ir (0.7595, 0.7595, 0.7595)
Pb (0.0000, 0.0000, 0.0000)
W (0.5000, 0.5000, 0.5000)